# 1
Material: Ca3NbV
Method: DFT, PBE-GGA
State: optimized geometry

Structure (POSCAR):
```
Ca3NbV
1.0
5.688 0.000 0.000
0.000 5.688 0.000
0.000 0.000 5.688
Ca Nb V
3 1 1
Cartesian
0.000 0.000 2.844
0.000 2.844 0.000
2.844 0.000 0.000
2.844 2.844 2.844
0.000 0.000 0.000
```

Computed properties:
- formation energy (meV/atom) = 1401
- space-group type = Pm-3m
- N(E_F) (states/eV/atom) = 1.4916
- total magnetization (μB per cell) = 9.4
- crystal system = cubic

---

# 2
Material: CaNb2V
Method: DFT, PBE-GGA
State: optimized geometry

Structure (POSCAR):
```
CaNb2V
1.0
0.000 3.360 3.360
3.360 0.000 3.360
3.360 3.360 0.000
Ca Nb V
1 2 1
Cartesian
0.000 0.000 0.000
1.680 1.680 1.680
5.041 5.041 5.041
3.360 3.360 3.360
```

Computed properties:
- formation energy (meV/atom) = 729
- space-group type = Fm-3m
- N(E_F) (states/eV/atom) = 1.8783
- total magnetization (μB per cell) = 0.4
- crystal system = cubic

---

# 3
Material: CaNbV3
Method: DFT, PBE-GGA
State: optimized geometry

Structure (POSCAR):
```
CaNbV3
1.0
4.742 0.000 0.000
0.000 4.742 0.000
0.000 0.000 4.742
Ca Nb V
1 1 3
Cartesian
0.000 0.000 0.000
2.371 2.371 2.371
0.000 2.371 2.371
2.371 0.000 2.371
2.371 2.371 0.000
```

Computed properties:
- formation energy (meV/atom) = 1118
- space-group type = Pm-3m
- N(E_F) (states/eV/atom) = 1.9327
- total magnetization (μB per cell) = 1.1
- crystal system = cubic